No. 1
# SrBeAg2 PBEsol relaxed
data_SrBeAg2
_chemical_formula_sum 'Sr3 Be3 Ag6'
_space_group_name_H-M_alt 'R -3 m'
_space_group_IT_number 166
_space_group_name_Hall '-R 3 2"'
_cell_length_a 4.3116
_cell_length_b 4.3116
_cell_length_c 16.2403
_cell_angle_alpha 90.00
_cell_angle_beta 90.00
_cell_angle_gamma 120.00
loop_
_atom_site_label
_atom_site_fract_x
_atom_site_fract_y
_atom_site_fract_z
Sr1 0.0000 0.0000 0.0000
Be1 0.0000 0.0000 0.5000
Ag1 0.0000 0.0000 0.1986
# density of states at the Fermi level = 1.89 states/eV/f.u.
# DFT total energy = -3.13 eV per atom



No. 2
# Al2CoCu PBEsol relaxed
data_Al2CoCu
_chemical_formula_sum 'Al4 Co2 Cu2'
_space_group_name_H-M_alt 'I -4 m 2'
_space_group_IT_number 119
_space_group_name_Hall 'I -4 -2'
_cell_length_a 3.511
_cell_length_b 3.511
_cell_length_c 7.878
_cell_angle_alpha 90.00
_cell_angle_beta 90.00
_cell_angle_gamma 90.00
loop_
_atom_site_label
_atom_site_fract_x
_atom_site_fract_y
_atom_site_fract_z
Al1 0.000 0.000 0.000
Al2 0.000 0.500 0.250
Co1 0.000 0.000 0.500
Cu1 0.000 0.500 0.750
# density of states at the Fermi level = 1.46 states/eV/f.u.
# DFT total energy = -5.41 eV per atom



No. 3
# LaTl PBEsol relaxed
data_LaTl
_chemical_formula_sum 'La2 Tl2'
_space_group_name_H-M_alt 'P m m a'
_space_group_IT_number 51
_cell_length_a 5.516
_cell_length_b 3.914
_cell_length_c 5.538
_cell_angle_alpha 90.00
_cell_angle_beta 90.00
_cell_angle_gamma 90.00
loop_
_space_group_symop_operation_xyz
'x,y,z'
'-x,-y,-z'
'-x+1/2,-y,z'
'x+1/2,y,-z'
'x+1/2,-y,-z'
'-x+1/2,y,z'
'-x,y,-z'
'x,-y,z'
loop_
_atom_site_label
_atom_site_fract_x
_atom_site_fract_y
_atom_site_fract_z
La1 0.250 0.000 0.240
Tl1 0.250 0.500 0.737
# density of states at the Fermi level = 2.15 states/eV/f.u.
# DFT total energy = -4.45 eV per atom



No. 4
# Li2ScHg PBEsol relaxed
data_Li2ScHg
_chemical_formula_sum 'Li2 Sc1 Hg1'
_space_group_name_H-M_alt 'P 4/m m m'
_space_group_IT_number 123
_space_group_name_Hall '-P 4 2'
_cell_length_a 4.076
_cell_length_b 4.076
_cell_length_c 4.677
_cell_angle_alpha 90.00
_cell_angle_beta 90.00
_cell_angle_gamma 90.00
loop_
_atom_site_label
_atom_site_fract_x
_atom_site_fract_y
_atom_site_fract_z
Li1 0.000 0.500 0.000
Sc1 0.000 0.000 0.500
Hg1 0.500 0.500 0.500
# density of states at the Fermi level = 4.12 states/eV/f.u.
# DFT total energy = -2.95 eV per atom



No. 5
# ScMoOs2 PBEsol relaxed
data_ScMoOs2
_chemical_formula_sum 'Sc3 Mo3 Os6'
_space_group_name_H-M_alt 'R -3 m'
_space_group_IT_number 166
_space_group_name_Hall '-R 3 2"'
_cell_length_a 2.8513
_cell_length_b 2.8513
_cell_length_c 26.2907
_cell_angle_alpha 90.00
_cell_angle_beta 90.00
_cell_angle_gamma 120.00
loop_
_atom_site_label
_atom_site_fract_x
_atom_site_fract_y
_atom_site_fract_z
Sc1 0.0000 0.0000 0.0000
Mo1 0.0000 0.0000 0.5000
Os1 0.0000 0.0000 0.2472
# density of states at the Fermi level = 3.13 states/eV/f.u.
# DFT total energy = -10.58 eV per atom



No. 6
# MgCd2Ni PBEsol relaxed
data_MgCd2Ni
_chemical_formula_sum 'Mg2 Cd4 Ni2'
_space_group_name_H-M_alt 'I 4/m m m'
_space_group_IT_number 139
_space_group_name_Hall '-I 4 2'
_cell_length_a 4.025
_cell_length_b 4.025
_cell_length_c 8.254
_cell_angle_alpha 90.00
_cell_angle_beta 90.00
_cell_angle_gamma 90.00
loop_
_atom_site_label
_atom_site_fract_x
_atom_site_fract_y
_atom_site_fract_z
Mg1 0.000 0.000 0.000
Cd1 0.000 0.500 0.250
Ni1 0.000 0.000 0.500
# density of states at the Fermi level = 1.55 states/eV/f.u.
# DFT total energy = -2.62 eV per atom



Q: Among the records above, which one has the lowest DFT total energy?
A: ScMoOs2